1.
First-principles (PBE with a Hubbard U) data for BaVN2F after structural relaxation, as listed in Alexandria.

**DFT total energy**: -0.331 Ry per atom
**Spin magnetization**: 1.999 μB per formula unit
**Space-group type**: P4/mmm, No. 123

Unit cell a=4.704 b=4.704 c=4.797 alpha=90.00 beta=90.00 gamma=90.00
Sites, in units of the cell vectors:
Ba 0.000 0.000 0.000
V 0.500 0.500 0.500
N 0.000 0.500 0.000
N 0.500 0.000 0.000
F 0.000 0.000 0.500


2.
First-principles (PBE with a Hubbard U) data for BaVN2F after structural relaxation, as listed in Alexandria.

**DFT total energy**: -0.483 Ry per atom
**Spin magnetization**: 0.000 μB per formula unit
**Space-group type**: P4/mmm, No. 123

Unit cell a=3.933 b=3.933 c=4.396 alpha=90.00 beta=90.00 gamma=90.00
Sites, in units of the cell vectors:
Ba 0.000 0.000 0.000
V 0.500 0.500 0.500
N 0.000 0.500 0.500
N 0.500 0.000 0.500
F 0.500 0.500 0.000


In states/eV/cell, the Fermi-level density of states values for the records above are, in order, 5.4, 1.6.